LiAsHPt2: optimized geometry, GGA-PBE.

Final energy in eV per formula unit: -23.43
Spin magnetization in μB per cell: 0.000

Cell and atoms, written as CIF:
```
data_LiAsHPt2
_symmetry_space_group_name_H-M 'P 1'
_symmetry_Int_Tables_number 1
_cell_length_a 4.0099
_cell_length_b 4.0099
_cell_length_c 3.9261
_cell_angle_alpha 90.00
_cell_angle_beta 90.00
_cell_angle_gamma 90.00
loop_
_symmetry_equiv_pos_as_xyz
'x,y,z'
loop_
_atom_site_label
_atom_site_type_symbol
_atom_site_fract_x
_atom_site_fract_y
_atom_site_fract_z
_atom_site_occupancy
Li1 Li 0.0000 0.0000 0.5000 1
Pt1 Pt 0.0000 0.5000 0.0000 1
Pt2 Pt 0.5000 0.0000 0.0000 1
As1 As 0.5000 0.5000 0.5000 1
H1 H 0.0000 0.0000 0.0000 1
```



Sr2BPd2: optimized geometry, GGA-PBE.

Distance to the lowest polymorph of the same formula in eV/atom: 0.198
Final energy in eV per formula unit: -19.88
Energy of formation from the pure elements in eV/atom: 0.109
Spin magnetization in μB per cell: 0.000

Cell and atoms, written as CIF:
```
data_Sr2BPd2
_symmetry_space_group_name_H-M 'P 1'
_symmetry_Int_Tables_number 1
_cell_length_a 6.5573
_cell_length_b 6.5573
_cell_length_c 4.8627
_cell_angle_alpha 90.00
_cell_angle_beta 90.00
_cell_angle_gamma 90.00
loop_
_symmetry_equiv_pos_as_xyz
'x,y,z'
loop_
_atom_site_label
_atom_site_type_symbol
_atom_site_fract_x
_atom_site_fract_y
_atom_site_fract_z
_atom_site_occupancy
B1 B 0.0000 0.0000 0.0000 1
B2 B 0.5000 0.5000 0.0000 1
Pd1 Pd 0.6575 0.1575 0.0000 1
Pd2 Pd 0.8425 0.6575 0.0000 1
Pd3 Pd 0.1575 0.3425 0.0000 1
Pd4 Pd 0.3425 0.8425 0.0000 1
Sr1 Sr 0.6747 0.8253 0.5000 1
Sr2 Sr 0.1747 0.6747 0.5000 1
Sr3 Sr 0.3253 0.1747 0.5000 1
Sr4 Sr 0.8253 0.3253 0.5000 1
```



NbFe: optimized geometry, GGA-PBE.

Final energy in eV per formula unit: -18.37
Energy of formation from the pure elements in eV/atom: 0.082
Spin magnetization in μB per cell: 0.010

Cell and atoms, written as CIF:
```
data_NbFe
_symmetry_space_group_name_H-M 'P 1'
_symmetry_Int_Tables_number 1
_cell_length_a 13.9189
_cell_length_b 2.7399
_cell_length_c 4.5349
_cell_angle_alpha 90.00
_cell_angle_beta 90.00
_cell_angle_gamma 90.00
loop_
_symmetry_equiv_pos_as_xyz
'x,y,z'
loop_
_atom_site_label
_atom_site_type_symbol
_atom_site_fract_x
_atom_site_fract_y
_atom_site_fract_z
_atom_site_occupancy
Nb1 Nb 0.1919 0.1587 0.1436 1
Nb2 Nb 0.6919 0.8413 0.6436 1
Nb3 Nb 0.0000 0.7423 0.9875 1
Nb4 Nb 0.3081 0.8413 0.6436 1
Nb5 Nb 0.8081 0.1587 0.1436 1
Nb6 Nb 0.5000 0.2577 0.4875 1
Fe1 Fe 0.5000 0.8844 0.9605 1
Fe2 Fe 0.3648 0.4724 0.1334 1
Fe3 Fe 0.6352 0.4724 0.1334 1
Fe4 Fe 0.0000 0.1156 0.4605 1
Fe5 Fe 0.8648 0.5276 0.6334 1
Fe6 Fe 0.1352 0.5276 0.6334 1
```



CaTbSn: optimized geometry, GGA-PBE.

Final energy in eV per formula unit: -12.00
Energy of formation from the pure elements in eV/atom: -0.456
Spin magnetization in μB per cell: 0.000

Cell and atoms, written as CIF:
```
data_CaTbSn
_symmetry_space_group_name_H-M 'P 1'
_symmetry_Int_Tables_number 1
_cell_length_a 5.2215
_cell_length_b 5.2215
_cell_length_c 5.2215
_cell_angle_alpha 60.00
_cell_angle_beta 60.00
_cell_angle_gamma 60.00
loop_
_symmetry_equiv_pos_as_xyz
'x,y,z'
loop_
_atom_site_label
_atom_site_type_symbol
_atom_site_fract_x
_atom_site_fract_y
_atom_site_fract_z
_atom_site_occupancy
Tb1 Tb 0.0000 0.0000 0.0000 1
Ca1 Ca 0.5000 0.5000 0.5000 1
Sn1 Sn 0.2500 0.2500 0.2500 1
```



Repeat the fourth record exactly.
CaTbSn: optimized geometry, GGA-PBE.

Final energy in eV per formula unit: -12.00
Energy of formation from the pure elements in eV/atom: -0.456
Spin magnetization in μB per cell: 0.000

Cell and atoms, written as CIF:
```
data_CaTbSn
_symmetry_space_group_name_H-M 'P 1'
_symmetry_Int_Tables_number 1
_cell_length_a 5.2215
_cell_length_b 5.2215
_cell_length_c 5.2215
_cell_angle_alpha 60.00
_cell_angle_beta 60.00
_cell_angle_gamma 60.00
loop_
_symmetry_equiv_pos_as_xyz
'x,y,z'
loop_
_atom_site_label
_atom_site_type_symbol
_atom_site_fract_x
_atom_site_fract_y
_atom_site_fract_z
_atom_site_occupancy
Tb1 Tb 0.0000 0.0000 0.0000 1
Ca1 Ca 0.5000 0.5000 0.5000 1
Sn1 Sn 0.2500 0.2500 0.2500 1
```



Please write out number 4 again, unchanged.
CaTbSn: optimized geometry, GGA-PBE.

Final energy in eV per formula unit: -12.00
Energy of formation from the pure elements in eV/atom: -0.456
Spin magnetization in μB per cell: 0.000

Cell and atoms, written as CIF:
```
data_CaTbSn
_symmetry_space_group_name_H-M 'P 1'
_symmetry_Int_Tables_number 1
_cell_length_a 5.2215
_cell_length_b 5.2215
_cell_length_c 5.2215
_cell_angle_alpha 60.00
_cell_angle_beta 60.00
_cell_angle_gamma 60.00
loop_
_symmetry_equiv_pos_as_xyz
'x,y,z'
loop_
_atom_site_label
_atom_site_type_symbol
_atom_site_fract_x
_atom_site_fract_y
_atom_site_fract_z
_atom_site_occupancy
Tb1 Tb 0.0000 0.0000 0.0000 1
Ca1 Ca 0.5000 0.5000 0.5000 1
Sn1 Sn 0.2500 0.2500 0.2500 1
```



> Among the records above, which one has the lowest final energy?

LiAsHPt2